Compound: Ca2TiSn3Pt4
Source: the Alexandria database
Functional: PBE-GGA
Structure: optimized geometry Values from VASP.

Output
- Formation energy: -759.3 meV per atom
- Size of the total moment: 0.0 μB per cell
- DOS(E_F): 8.2 states/eV/cell

```
&SYSTEM
  ibrav = 0, nat = 10, ntyp = 4
/
ATOMIC_SPECIES
Sn 118.71 Sn.upf
Pt 195.08 Pt.upf
Ti 47.87 Ti.upf
Ca 40.08 Ca.upf
ATOMIC_POSITIONS crystal
Sn 0.0000 0.0000 0.5000
Pt 0.5000 0.5000 0.0000
Sn 0.0000 0.5000 0.1382
Pt 0.0000 0.5000 0.3637
Ti 0.5000 0.5000 0.5000
Sn 0.5000 0.0000 0.8618
Ca 0.0000 0.5000 0.7495
Pt 0.5000 0.0000 0.6363
Pt 0.0000 0.0000 0.0000
Ca 0.5000 0.0000 0.2505
CELL_PARAMETERS angstrom
4.3042 0.0000 0.0000
0.0000 4.3042 0.0000
0.0000 0.0000 11.6848
```